DFT (PBE) results for a relaxed LiUTl2Cl6 crystal.

abc: 7.3221 7.5330 12.7060
angles: 90.00 124.81 90.00
Fractional positions:
Li1 0.0000 0.0000 0.0000
Li2 0.0000 0.5000 0.5000
U1 0.5000 0.0000 0.5000
U2 0.5000 0.5000 0.0000
Tl1 0.2324 0.0595 0.7471
Tl2 0.2324 0.4405 0.2471
Tl3 0.7676 0.5595 0.7529
Tl4 0.7676 0.9405 0.2529
Cl1 0.1570 0.2098 0.4592
Cl2 0.1570 0.2902 0.9592
Cl3 0.2510 0.7015 0.4597
Cl4 0.2510 0.7985 0.9597
Cl5 0.3221 0.0164 0.2420
Cl6 0.3221 0.4836 0.7420
Cl7 0.6779 0.5164 0.2580
Cl8 0.6779 0.9836 0.7580
Cl9 0.7490 0.2015 0.0403
Cl10 0.7490 0.2985 0.5403
Cl11 0.8430 0.7098 0.0408
Cl12 0.8430 0.7902 0.5408

Summary:
* total magnetization: 6.00 Bohr magnetons per cell
* ΔE_f (raw): -1.439 eV per atom
* Fermi-level density of states: 0.199 states/eV/atom

***

DFT (PBE) results for a relaxed Th2FeSi crystal.

abc: 9.5225 9.5225 9.5225
angles: 21.20 21.20 21.20
Fractional positions:
Th1 0.0880 0.0880 0.0880
Th2 0.9120 0.9120 0.9120
Fe1 0.0000 0.0000 0.0000
Si1 0.5000 0.5000 0.5000

Summary:
* total magnetization: 0.99 Bohr magnetons per cell
* ΔE_f (raw): 0.464 eV per atom
* energy above the most stable polymorph in this dataset: 861.7 meV per atom
* Fermi-level density of states: 1.033 states/eV/atom

***

DFT (PBE) results for a relaxed Ag6Te3Au crystal.

abc: 9.5292 9.5292 5.0374
angles: 90.00 90.00 93.59
Fractional positions:
Ag1 0.0117 0.5908 0.2683
Ag2 0.0533 0.9467 0.5000
Ag3 0.2744 0.7256 0.5020
Ag4 0.2978 0.4046 0.6229
Ag5 0.4046 0.2978 0.1229
Ag6 0.4092 0.9883 0.2683
Ag7 0.5908 0.0117 0.7683
Ag8 0.5954 0.7022 0.6229
Ag9 0.7022 0.5954 0.1229
Ag10 0.7256 0.2744 0.0020
Ag11 0.9467 0.0533 0.0000
Ag12 0.9883 0.4092 0.7683
Te1 0.0849 0.2999 0.2645
Te2 0.2999 0.0849 0.7645
Te3 0.3828 0.6172 0.9847
Te4 0.6172 0.3828 0.4847
Te5 0.7001 0.9151 0.2645
Te6 0.9151 0.7001 0.7645
Au1 0.1618 0.8382 0.0204
Au2 0.8382 0.1618 0.5204

Summary:
* total magnetization: 0.00 Bohr magnetons per cell
* ΔE_f (raw): 0.014 eV per atom
* Fermi-level density of states: 0.192 states/eV/atom

***

DFT (PBE) results for a relaxed SrCa3Os crystal.

abc: 5.4051 5.4051 5.4051
angles: 90.00 90.00 90.00
Fractional positions:
Sr1 0.0000 0.0000 0.0000
Ca1 0.0000 0.0000 0.5000
Ca2 0.0000 0.5000 0.0000
Ca3 0.5000 0.0000 0.0000
Os1 0.5000 0.5000 0.5000

Summary:
* total magnetization: 0.00 Bohr magnetons per cell
* energy above the most stable polymorph in this dataset: 1827.8 meV per atom
* Fermi-level density of states: 2.355 states/eV/atom
* ΔH_f (0 K): 2.10 eV/atom